1.
VASP calculation (GGA-PBEsol) on a geometry-optimized HfTl2SiRu structure.

```
data_HfTl2SiRu
_chemical_formula_sum 'Hf1 Tl2 Si1 Ru1'
_space_group_name_H-M_alt 'P 1'
_space_group_IT_number 1
_cell_length_a 4.880
_cell_length_b 4.880
_cell_length_c 4.924
_cell_angle_alpha 90.00
_cell_angle_beta 90.00
_cell_angle_gamma 90.00
loop_
_space_group_symop_operation_xyz
'x,y,z'
loop_
_atom_site_label
_atom_site_type_symbol
_atom_site_fract_x
_atom_site_fract_y
_atom_site_fract_z
_atom_site_occupancy
Hf1 Hf 0.000 0.000 0.000 1
Tl1 Tl 0.000 0.500 0.500 1
Tl2 Tl 0.500 0.000 0.500 1
Si1 Si 0.000 0.000 0.500 1
Ru1 Ru 0.500 0.500 0.000 1
```

Output
Fermi-level density of states: 5.8 states/eV/cell
Density: 10143 kg/m3
Magnetization: 1.44 Bohr magnetons per cell
E_form (uncorrected): 1.2744 eV per atom
Space-group type: P4/mmm



2.
VASP calculation (GGA-PBEsol) on a geometry-optimized CaZrIr2 structure.

```
data_CaZrIr2
_chemical_formula_sum 'Ca1 Zr1 Ir2'
_space_group_name_H-M_alt 'P 1'
_space_group_IT_number 1
_cell_length_a 2.983
_cell_length_b 4.503
_cell_length_c 5.467
_cell_angle_alpha 90.00
_cell_angle_beta 90.00
_cell_angle_gamma 90.00
loop_
_space_group_symop_operation_xyz
'x,y,z'
loop_
_atom_site_label
_atom_site_type_symbol
_atom_site_fract_x
_atom_site_fract_y
_atom_site_fract_z
_atom_site_occupancy
Ca1 Ca 0.000 0.000 0.000 1
Zr1 Zr 0.500 0.500 0.640 1
Ir1 Ir 0.000 0.000 0.496 1
Ir2 Ir 0.500 0.500 0.146 1
```

Output
Fermi-level density of states: 1.9 states/eV/cell
Energy relative to the elements: -0.1590 eV/atom
Density: 11662 kg/m3
Magnetization: 0.00 Bohr magnetons per cell
Space-group type: Pmm2



3.
VASP calculation (GGA-PBEsol) on a geometry-optimized AgPOs2 structure.

```
data_AgPOs2
_chemical_formula_sum 'Ag1 P1 Os2'
_space_group_name_H-M_alt 'P 1'
_space_group_IT_number 1
_cell_length_a 2.879
_cell_length_b 2.879
_cell_length_c 6.723
_cell_angle_alpha 90.00
_cell_angle_beta 90.00
_cell_angle_gamma 90.00
loop_
_space_group_symop_operation_xyz
'x,y,z'
loop_
_atom_site_label
_atom_site_type_symbol
_atom_site_fract_x
_atom_site_fract_y
_atom_site_fract_z
_atom_site_occupancy
Ag1 Ag 0.000 0.000 0.000 1
P1 P 0.000 0.000 0.500 1
Os1 Os 0.500 0.500 0.302 1
Os2 Os 0.500 0.500 0.698 1
```

Output
Fermi-level density of states: 3.3 states/eV/cell
Energy relative to the elements: 0.2832 eV/atom
Density: 15475 kg/m3
Magnetization: 0.00 Bohr magnetons per cell
Space-group type: P4/mmm



no.,energy (eV per cell)
1,-25.31
2,-31.51
3,-32.40